! Hf12In3Hg PBE relaxed; values from VASP
&SYSTEM
  ibrav = 0, nat = 16, ntyp = 3
/
ATOMIC_SPECIES
Hf 178.49 Hf.upf
In 114.82 In.upf
Hg 200.59 Hg.upf
ATOMIC_POSITIONS crystal
Hf 0.0000 0.0000 0.0000
Hf 0.0000 0.0000 0.2489
Hf 0.0000 0.0000 0.5000
Hf 0.0000 0.0000 0.7511
Hf 0.0000 0.5000 0.1244
Hf 0.0000 0.5000 0.3748
Hf 0.0000 0.5000 0.6252
Hf 0.0000 0.5000 0.8756
Hf 0.5000 0.0000 0.1244
Hf 0.5000 0.0000 0.3748
Hf 0.5000 0.0000 0.6252
Hf 0.5000 0.0000 0.8756
In 0.5000 0.5000 0.2491
In 0.5000 0.5000 0.5000
In 0.5000 0.5000 0.7509
Hg 0.5000 0.5000 0.0000
CELL_PARAMETERS angstrom
4.4200 0.0000 0.0000
0.0000 4.4200 0.0000
0.0000 0.0000 17.6762
! - N(E_F): 13.10 states/eV/cell

---

! Hf3InHg2 PBE relaxed; values from VASP
&SYSTEM
  ibrav = 0, nat = 6, ntyp = 3
/
ATOMIC_SPECIES
Hf 178.49 Hf.upf
In 114.82 In.upf
Hg 200.59 Hg.upf
ATOMIC_POSITIONS crystal
Hf 0.0000 0.0000 0.0000
Hf 0.0000 0.0000 0.3305
Hf 0.0000 0.0000 0.6695
In 0.5000 0.5000 0.5000
Hg 0.5000 0.5000 0.1647
Hg 0.5000 0.5000 0.8353
CELL_PARAMETERS angstrom
3.1469 0.0000 0.0000
0.0000 3.1469 0.0000
0.0000 0.0000 12.8297
! - N(E_F): 4.99 states/eV/cell

---

! Hf3In2Hg PBE relaxed; values from VASP
&SYSTEM
  ibrav = 0, nat = 6, ntyp = 3
/
ATOMIC_SPECIES
Hf 178.49 Hf.upf
In 114.82 In.upf
Hg 200.59 Hg.upf
ATOMIC_POSITIONS crystal
Hf 0.0000 0.0000 0.0000
Hf 0.0000 0.0000 0.3373
Hf 0.0000 0.0000 0.6627
In 0.5000 0.5000 0.1691
In 0.5000 0.5000 0.8309
Hg 0.5000 0.5000 0.5000
CELL_PARAMETERS angstrom
3.1282 0.0000 0.0000
0.0000 3.1282 0.0000
0.0000 0.0000 13.1183
! - N(E_F): 5.26 states/eV/cell

---

| no. | theoretical density (g/cm³) | total magnetization (μB/atom) | formation energy (eV per atom) |
| --- | --- | --- | --- |
| 1 | 12.92 | 0.0000 | -0.1187 |
| 2 | 13.74 | 0.0136 | -0.0791 |
| 3 | 12.49 | 0.0000 | -0.1156 |